(1)
Below is a relaxed AgPbSeBr2 crystal, with properties calculated at the PBE level.

Summary:
ΔE to the lowest computed polymorph: 0.0 meV per atom
ΔE_f (raw): -139.0 meV/atom
Energy: -14.085 eV for the cell shown

a = 5.1990 Å, b = 5.1990 Å, c = 5.3454 Å
α = 90.00°, β = 90.00°, γ = 90.00°
Element x y z (fractional)
Ag  0.0000  0.0000  0.0000
Pb  0.5000  0.5000  0.5000
Br  0.0000  0.5000  0.0000
Br  0.5000  0.0000  0.0000
Se  0.0000  0.0000  0.5000



(2)
Below is a relaxed AgPbSeBr crystal, with properties calculated at the PBE level.

Summary:
ΔE_f (raw): -314.4 meV/atom
Energy: -25.949 eV for the cell shown

a = 5.0309 Å, b = 5.0309 Å, c = 12.9073 Å
α = 78.76°, β = 78.76°, γ = 60.00°
Element x y z (fractional)
Se  0.8758  0.8758  0.3725
Se  0.1242  0.1242  0.6275
Br  0.2943  0.2943  0.1170
Br  0.7057  0.7057  0.8830
Ag  0.6308  0.6308  0.1075
Ag  0.3692  0.3692  0.8925
Pb  0.7972  0.7972  0.6083
Pb  0.2028  0.2028  0.3917



(3)
Below is a relaxed SmAgPbBr6 crystal, with properties calculated at the PBE level.

Summary:
ΔE_f (raw): -1187.9 meV/atom
Energy: -64.014 eV for the cell shown

a = 7.2856 Å, b = 7.2856 Å, c = 13.5139 Å
α = 90.00°, β = 90.00°, γ = 120.00°
Element x y z (fractional)
Ag  0.3333  0.6667  0.2500
Ag  0.6667  0.3333  0.7500
Br  0.3495  0.0025  0.1280
Br  0.6530  0.6505  0.1280
Br  0.0025  0.3495  0.6280
Br  0.3470  0.3495  0.8720
Br  0.3495  0.3470  0.3720
Br  0.3470  0.9975  0.6280
Br  0.9975  0.3470  0.1280
Br  0.6505  0.6530  0.6280
Br  0.6530  0.0025  0.3720
Br  0.9975  0.6505  0.3720
Br  0.0025  0.6530  0.8720
Br  0.6505  0.9975  0.8720
Sm  0.6667  0.3333  0.2500
Sm  0.3333  0.6667  0.7500
Pb  0.0000  0.0000  0.0000
Pb  0.0000  0.0000  0.5000



(4)
Below is a relaxed Ag2SnPbBr6 crystal, with properties calculated at the PBE level.

Summary:
ΔE_f (raw): -617.5 meV/atom
Energy: -29.626 eV for the cell shown

a = 7.4964 Å, b = 7.4976 Å, c = 8.1874 Å
α = 90.01°, β = 117.23°, γ = 120.00°
Element x y z (fractional)
Br  0.4852  0.0714  0.2125
Br  0.8139  0.7414  0.2126
Br  0.1553  0.4129  0.2125
Br  0.4998  0.8975  0.7005
Br  0.1133  0.2148  0.7005
Br  0.8171  0.6012  0.7007
Ag  0.6211  0.8101  0.4169
Ag  0.4728  0.2358  0.6945
Sn  0.0092  0.0041  0.9993
Pb  0.9781  0.4885  0.4524



(5)
Below is a relaxed AgSnPbBr6 crystal, with properties calculated at the PBE level.

Summary:
ΔE_f (raw): -632.0 meV/atom
Energy: -52.575 eV for the cell shown

a = 6.9012 Å, b = 6.9012 Å, c = 12.9946 Å
α = 90.00°, β = 90.00°, γ = 90.00°
Element x y z (fractional)
Br  0.8109  0.1891  0.5004
Br  0.3109  0.3109  0.0004
Br  0.7936  0.2064  0.1771
Br  0.2936  0.2936  0.6771
Br  0.2064  0.7936  0.1771
Br  0.7064  0.7064  0.6771
Br  0.6891  0.6891  0.0004
Br  0.2042  0.7958  0.8218
Br  0.7958  0.2042  0.8218
Br  0.7042  0.7042  0.3218
Br  0.2958  0.2958  0.3218
Br  0.1891  0.8109  0.5004
Pb  0.0000  0.0000  0.0004
Pb  0.5000  0.5000  0.5004
Sn  0.0000  0.0000  0.6676
Sn  0.5000  0.5000  0.1676
Ag  0.5000  0.5000  0.8334
Ag  0.0000  0.0000  0.3334



(6)
Below is a relaxed AgSn2PbBr8 crystal, with properties calculated at the PBE level.

Summary:
ΔE_f (raw): -666.2 meV/atom
Energy: -35.942 eV for the cell shown

a = 7.0749 Å, b = 6.8777 Å, c = 8.7777 Å
α = 90.00°, β = 90.00°, γ = 86.48°
Element x y z (fractional)
Br  0.1803  0.7862  0.2262
Br  0.8197  0.2138  0.7738
Br  0.3327  0.2945  0.0000
Br  0.6821  0.7203  0.5000
Br  0.8197  0.2138  0.2261
Br  0.6673  0.7055  0.0000
Br  0.3179  0.2797  0.5000
Br  0.1803  0.7862  0.7739
Pb  0.0000  0.0000  0.5000
Sn  0.5000  0.5000  0.2424
Sn  0.5000  0.5000  0.7576
Ag  0.0000  0.0000  0.0000



(7)
Below is a relaxed AgSnPb2Br8 crystal, with properties calculated at the PBE level.

Summary:
ΔE_f (raw): -692.3 meV/atom
Energy: -35.961 eV for the cell shown

a = 7.1740 Å, b = 6.8021 Å, c = 8.6363 Å
α = 90.00°, β = 90.00°, γ = 88.91°
Element x y z (fractional)
Pb  0.5000  0.5000  0.2449
Pb  0.5000  0.5000  0.7551
Br  0.1562  0.7747  0.2546
Br  0.1562  0.7747  0.7455
Br  0.3286  0.2618  0.0000
Br  0.6830  0.7602  0.5000
Br  0.8438  0.2253  0.7454
Br  0.3170  0.2398  0.5000
Br  0.6714  0.7382  0.0000
Br  0.8438  0.2253  0.2545
Ag  0.0000  0.0000  0.0000
Sn  0.0000  0.0000  0.5000



(8)
Below is a relaxed AgSnPbBr5 crystal, with properties calculated at the PBE level.

Summary:
ΔE_f (raw): -644.8 meV/atom
Energy: -48.170 eV for the cell shown

a = 8.0432 Å, b = 8.0432 Å, c = 10.7703 Å
α = 105.86°, β = 105.86°, γ = 106.53°
Element x y z (fractional)
Pb  0.0000  0.0000  0.5000
Pb  0.0000  0.0000  0.0000
Ag  0.3189  0.6811  0.7500
Ag  0.6811  0.3189  0.2500
Br  0.6234  0.6881  0.9458
Br  0.1170  0.8830  0.2500
Br  0.9808  0.3535  0.1801
Br  0.6881  0.6234  0.4458
Br  0.3766  0.3119  0.0542
Br  0.0192  0.6465  0.8199
Br  0.3535  0.9808  0.6801
Br  0.6465  0.0192  0.3199
Br  0.8830  0.1170  0.7500
Br  0.3119  0.3766  0.5542
Sn  0.3639  0.6361  0.2500
Sn  0.6361  0.3639  0.7500



(9)
Below is a relaxed Sr2AgPbBr crystal, with properties calculated at the PBE level.

Summary:
ΔE_f (raw): -97.9 meV/atom
Energy: -12.086 eV for the cell shown

a = 6.4793 Å, b = 6.4793 Å, c = 5.8507 Å
α = 90.00°, β = 90.00°, γ = 90.00°
Element x y z (fractional)
Br  0.0000  0.0000  0.5000
Pb  0.0000  0.0000  0.0000
Ag  0.5000  0.5000  0.5000
Sr  0.0000  0.5000  0.0000
Sr  0.5000  0.0000  0.0000



(10)
Below is a relaxed SrAgPbBr5 crystal, with properties calculated at the PBE level.

Summary:
ΔE_f (raw): -1157.4 meV/atom
Energy: -51.731 eV for the cell shown

a = 8.0550 Å, b = 8.0550 Å, c = 10.9003 Å
α = 105.61°, β = 105.61°, γ = 106.28°
Element x y z (fractional)
Sr  0.0000  0.0000  0.5000
Sr  0.0000  0.0000  0.0000
Br  0.6933  0.6230  0.4472
Br  0.3067  0.3770  0.5528
Br  0.8845  0.1155  0.7500
Br  0.3508  0.9736  0.6726
Br  0.0264  0.6492  0.8274
Br  0.1155  0.8845  0.2500
Br  0.9736  0.3508  0.1726
Br  0.6230  0.6933  0.9472
Br  0.3770  0.3067  0.0528
Br  0.6492  0.0264  0.3274
Pb  0.3618  0.6382  0.2500
Pb  0.6382  0.3618  0.7500
Ag  0.3208  0.6792  0.7500
Ag  0.6792  0.3208  0.2500



(11)
Below is a relaxed ThAg2PbBr8 crystal, with properties calculated at the PBE level.

Summary:
ΔE_f (raw): -1047.6 meV/atom
Energy: -42.785 eV for the cell shown

a = 7.1262 Å, b = 7.4336 Å, c = 9.0109 Å
α = 73.54°, β = 90.25°, γ = 101.82°
Element x y z (fractional)
Br  0.6302  0.7579  0.0293
Br  0.8743  0.2138  0.1833
Br  0.3698  0.2421  0.9707
Br  0.6064  0.7407  0.5739
Br  0.8951  0.2412  0.7104
Br  0.1257  0.7862  0.8167
Br  0.1049  0.7588  0.2896
Br  0.3936  0.2593  0.4261
Ag  0.5175  0.3420  0.6823
Ag  0.4825  0.6580  0.3177
Th  0.0000  0.0000  0.0000
Pb  0.0000  0.0000  0.5000



(12)
Below is a relaxed Tl2AgPbBr6 crystal, with properties calculated at the PBE level.

Summary:
ΔE_f (raw): -677.3 meV/atom
Energy: -56.205 eV for the cell shown

a = 7.6022 Å, b = 8.0861 Å, c = 11.0212 Å
α = 90.00°, β = 90.24°, γ = 90.00°
Element x y z (fractional)
Tl  0.5288  0.5806  0.7496
Tl  0.9712  0.0806  0.7504
Tl  0.4712  0.4194  0.2504
Tl  0.0288  0.9194  0.2496
Pb  0.0000  0.5000  0.5000
Pb  0.5000  0.0000  0.0000
Br  0.4043  0.9823  0.7417
Br  0.3018  0.6926  0.0440
Br  0.1982  0.1926  0.4560
Br  0.3124  0.7044  0.4524
Br  0.6876  0.2956  0.5476
Br  0.6982  0.3074  0.9560
Br  0.5957  0.0177  0.2583
Br  0.9043  0.5177  0.2417
Br  0.8018  0.8074  0.5440
Br  0.1876  0.2044  0.0476
Br  0.8124  0.7956  0.9524
Br  0.0957  0.4823  0.7583
Ag  0.0000  0.5000  0.0000
Ag  0.5000  0.0000  0.5000



(13)
Below is a relaxed Tl2Ag3PbBr8 crystal, with properties calculated at the PBE level.

Summary:
ΔE_f (raw): -535.1 meV/atom
Energy: -37.869 eV for the cell shown

a = 8.6160 Å, b = 8.6160 Å, c = 9.0322 Å
α = 61.51°, β = 61.51°, γ = 60.00°
Element x y z (fractional)
Br  0.2409  0.2409  0.7939
Br  0.2409  0.7243  0.7939
Br  0.7243  0.2409  0.7939
Br  0.2651  0.2651  0.2046
Br  0.7273  0.7273  0.8180
Br  0.2655  0.7618  0.2108
Br  0.7618  0.7618  0.2108
Br  0.7618  0.2655  0.2108
Ag  0.4970  0.0112  0.9949
Ag  0.0112  0.4970  0.9949
Ag  0.4970  0.4970  0.9949
Tl  0.5010  0.5010  0.4970
Tl  0.1299  0.1299  0.6104
Pb  0.8689  0.8689  0.3934



(14)
Below is a relaxed TlAg4PbBr8 crystal, with properties calculated at the PBE level.

Summary:
ΔE_f (raw): -486.5 meV/atom
Energy: -37.673 eV for the cell shown

a = 8.5116 Å, b = 8.5116 Å, c = 8.7074 Å
α = 60.74°, β = 60.74°, γ = 60.00°
Element x y z (fractional)
Ag  0.9961  0.5046  0.5032
Ag  0.6362  0.6362  0.0913
Ag  0.5046  0.9961  0.5032
Ag  0.9961  0.9961  0.5032
Br  0.7622  0.7622  0.7134
Br  0.2514  0.7744  0.7227
Br  0.2514  0.2514  0.7227
Br  0.2294  0.2294  0.3119
Br  0.7500  0.2399  0.2601
Br  0.7500  0.7500  0.2601
Br  0.7744  0.2514  0.7227
Br  0.2399  0.7500  0.2601
Pb  0.9944  0.9944  0.0168
Tl  0.3639  0.3639  0.9083



(15)
Below is a relaxed TlAgPbBr4 crystal, with properties calculated at the PBE level.

Summary:
ΔE_f (raw): -706.2 meV/atom
Energy: -41.121 eV for the cell shown

a = 7.3592 Å, b = 7.9881 Å, c = 8.8930 Å
α = 90.00°, β = 107.42°, γ = 90.00°
Element x y z (fractional)
Br  0.9823  0.0111  0.2705
Br  0.5210  0.2500  0.8563
Br  0.0177  0.5111  0.7295
Br  0.0177  0.9889  0.7295
Br  0.9823  0.4889  0.2705
Br  0.5115  0.2500  0.3988
Br  0.4885  0.7500  0.6012
Br  0.4790  0.7500  0.1437
Ag  0.7719  0.2500  0.6911
Ag  0.2281  0.7500  0.3089
Tl  0.7801  0.7500  0.9451
Tl  0.2199  0.2500  0.0549
Pb  0.7955  0.7500  0.4482
Pb  0.2045  0.2500  0.5518



(16)
Below is a relaxed TlAg2PbBr8 crystal, with properties calculated at the PBE level.

Summary:
ΔE_f (raw): -466.5 meV/atom
Energy: -30.759 eV for the cell shown

a = 7.1490 Å, b = 6.8399 Å, c = 8.3347 Å
α = 90.00°, β = 90.00°, γ = 95.35°
Element x y z (fractional)
Br  0.6557  0.7075  0.5000
Br  0.3443  0.2925  0.5000
Br  0.3368  0.2883  0.0000
Br  0.1671  0.7795  0.7687
Br  0.8329  0.2206  0.7686
Br  0.6632  0.7117  0.0000
Br  0.1671  0.7794  0.2314
Br  0.8329  0.2205  0.2313
Ag  0.5000  0.5000  0.2483
Ag  0.5000  0.5000  0.7517
Pb  0.0000  0.0000  0.5000
Tl  0.0000  0.0000  0.0000



(17)
Below is a relaxed TlAgPbBr5 crystal, with properties calculated at the PBE level.

Summary:
ΔE_f (raw): -598.6 meV/atom
Energy: -44.159 eV for the cell shown

a = 8.0410 Å, b = 8.0410 Å, c = 10.9763 Å
α = 101.59°, β = 101.59°, γ = 113.07°
Element x y z (fractional)
Br  0.8774  0.2938  0.0918
Br  0.2938  0.8774  0.5918
Br  0.9210  0.0790  0.7500
Br  0.7062  0.1226  0.4082
Br  0.3006  0.3869  0.5674
Br  0.3869  0.3006  0.0674
Br  0.1226  0.7062  0.9082
Br  0.6131  0.6994  0.9326
Br  0.0790  0.9210  0.2500
Br  0.6994  0.6131  0.4326
Tl  0.3304  0.6696  0.2500
Tl  0.6696  0.3304  0.7500
Pb  0.0000  0.0000  0.0000
Pb  0.0000  0.0000  0.5000
Ag  0.3263  0.6737  0.7500
Ag  0.6737  0.3263  0.2500



(18)
Below is a relaxed Tl2AgPbBr5 crystal, with properties calculated at the PBE level.

Summary:
ΔE_f (raw): -769.9 meV/atom
Energy: -53.172 eV for the cell shown

a = 4.4855 Å, b = 9.9697 Å, c = 14.3007 Å
α = 90.00°, β = 90.00°, γ = 103.00°
Element x y z (fractional)
Pb  0.2092  0.4183  0.0225
Pb  0.7908  0.5817  0.5225
Br  0.3076  0.6152  0.3769
Br  0.9520  0.9039  0.5458
Br  0.7169  0.4338  0.1692
Br  0.6380  0.2761  0.5022
Br  0.4935  0.9870  0.7708
Br  0.3620  0.7239  0.0022
Br  0.6924  0.3848  0.8769
Br  0.5065  0.0130  0.2708
Br  0.0480  0.0961  0.0458
Br  0.2831  0.5662  0.6692
Tl  0.8715  0.7430  0.8181
Tl  0.9005  0.8010  0.1766
Tl  0.0995  0.1990  0.6766
Tl  0.1285  0.2570  0.3181
Ag  0.5440  0.0880  0.9420
Ag  0.4560  0.9120  0.4420



(19)
Below is a relaxed YAgPbBr6 crystal, with properties calculated at the PBE level.

Summary:
ΔE_f (raw): -1189.2 meV/atom
Energy: -67.528 eV for the cell shown

a = 7.2508 Å, b = 7.2508 Å, c = 13.3915 Å
α = 90.00°, β = 90.00°, γ = 120.00°
Element x y z (fractional)
Br  0.0081  0.3546  0.6288
Br  0.6535  0.0081  0.3712
Br  0.3546  0.3465  0.3712
Br  0.6454  0.6535  0.6288
Br  0.0081  0.6535  0.8712
Br  0.9919  0.6454  0.3712
Br  0.6454  0.9919  0.8712
Br  0.3546  0.0081  0.1288
Br  0.9919  0.3465  0.1288
Br  0.3465  0.3546  0.8712
Br  0.3465  0.9919  0.6288
Br  0.6535  0.6454  0.1288
Pb  0.0000  0.0000  0.5000
Pb  0.0000  0.0000  0.0000
Y  0.6667  0.3333  0.2500
Y  0.3333  0.6667  0.7500
Ag  0.3333  0.6667  0.2500
Ag  0.6667  0.3333  0.7500